[1]
A plane-wave DFT calculation with PBE was carried out for a relaxed structure of CdCu2Cl.

Structure (CIF):
```
data_CdCu2Cl
_cell_length_a 3.145
_cell_length_b 4.096
_cell_length_c 5.775
_cell_angle_alpha 90.00
_cell_angle_beta 90.00
_cell_angle_gamma 90.00
_symmetry_space_group_name_H-M 'P m m m'
_symmetry_Int_Tables_number 47
loop_
_symmetry_equiv_pos_as_xyz
'x,y,z'
'-x,-y,-z'
'-x,-y,z'
'x,y,-z'
'x,-y,-z'
'-x,y,z'
'-x,y,-z'
'x,-y,z'
loop_
_atom_site_label
_atom_site_fract_x
_atom_site_fract_y
_atom_site_fract_z
Cd1 0.000 0.000 0.000
Cu1 0.000 0.500 0.500
Cu2 0.500 0.500 0.000
Cl1 0.500 0.000 0.500
```

Results
Magnetic moment ... 0.00 μB/f.u.
E_form (uncorrected) ... 177 meV/atom

---

[2]
A plane-wave DFT calculation with PBE was carried out for a relaxed structure of BaZn2RuPb.

Structure (CIF):
```
data_BaZn2RuPb
_cell_length_a 5.018
_cell_length_b 5.018
_cell_length_c 5.191
_cell_angle_alpha 90.00
_cell_angle_beta 90.00
_cell_angle_gamma 90.00
_symmetry_space_group_name_H-M 'P 4/m m m'
_symmetry_Int_Tables_number 123
_symmetry_space_group_name_Hall '-P 4 2'
loop_
_atom_site_label
_atom_site_fract_x
_atom_site_fract_y
_atom_site_fract_z
Ba1 0.000 0.000 0.000
Zn1 0.000 0.500 0.500
Ru1 0.500 0.500 0.500
Pb1 0.500 0.500 0.000
```

Results
Magnetic moment ... 0.00 μB/f.u.
Energy of formation ... -0.133 eV per atom

---

[3]
A plane-wave DFT calculation with PBE was carried out for a relaxed structure of Pr3YTh4S8.

Structure (CIF):
```
data_Pr3YTh4S8
_cell_length_a 8.0332
_cell_length_b 8.0332
_cell_length_c 20.1520
_cell_angle_alpha 90.00
_cell_angle_beta 90.00
_cell_angle_gamma 120.00
_symmetry_space_group_name_H-M 'R -3 m'
_symmetry_Int_Tables_number 166
_symmetry_space_group_name_Hall '-R 3 2"'
loop_
_atom_site_label
_atom_site_fract_x
_atom_site_fract_y
_atom_site_fract_z
Pr1 0.0000 0.5000 0.0000
Y1 0.0000 0.0000 0.0000
Th1 0.0000 0.0000 0.5000
Th2 0.0000 0.5000 0.5000
S1 0.0000 0.0000 0.2492
S2 0.0075 0.5037 0.7490
```

Results
Magnetic moment ... 0.00 μB/f.u.
E_form (uncorrected) ... -1917 meV/atom